First-principles (GGA-PBE) data for a relaxed structure of TbHoEr2, as listed in Alexandria.

```
data_TbHoEr2
_chemical_formula_sum 'Tb1 Ho1 Er2'
_symmetry_space_group_name_H-M 'P 4/m m m'
_symmetry_Int_Tables_number 123
_symmetry_space_group_name_Hall '-P 4 2'
_cell_length_a 3.516
_cell_length_b 3.516
_cell_length_c 9.947
_cell_angle_alpha 90.00
_cell_angle_beta 90.00
_cell_angle_gamma 90.00
loop_
_atom_site_label
_atom_site_type_symbol
_atom_site_fract_x
_atom_site_fract_y
_atom_site_fract_z
Tb1 Tb 0.000 0.000 0.000
Ho1 Ho 0.000 0.000 0.500
Er1 Er 0.500 0.500 0.251
```

Properties
- E above lowest polymorph (eV/atom) = 0.017
- energy relative to the elements (meV per atom) = 21
- total magnetization (μB/cell) = 0.00
- Fermi-level density of states (states/eV/cell) = 5.061

First-principles (GGA-PBE) data for a relaxed structure of NaV3Re, as listed in Alexandria.

```
data_NaV3Re
_chemical_formula_sum 'Na1 V3 Re1'
_symmetry_space_group_name_H-M 'P m -3 m'
_symmetry_Int_Tables_number 221
_symmetry_space_group_name_Hall '-P 4 2 3'
_cell_length_a 4.300
_cell_length_b 4.300
_cell_length_c 4.300
_cell_angle_alpha 90.00
_cell_angle_beta 90.00
_cell_angle_gamma 90.00
loop_
_atom_site_label
_atom_site_type_symbol
_atom_site_fract_x
_atom_site_fract_y
_atom_site_fract_z
Na1 Na 0.000 0.000 0.000
V1 V 0.000 0.000 0.500
Re1 Re 0.500 0.500 0.500
```

Properties
- E above lowest polymorph (eV/atom) = 1.199
- energy relative to the elements (meV per atom) = 2335
- total magnetization (μB/cell) = 1.37
- Fermi-level density of states (states/eV/cell) = 8.427

First-principles (GGA-PBE) data for a relaxed structure of LiPr4Pu3Te8, as listed in Alexandria.

```
data_LiPr4Pu3Te8
_chemical_formula_sum 'Li1 Pr4 Pu3 Te8'
_symmetry_space_group_name_H-M 'P 4/m m m'
_symmetry_Int_Tables_number 123
_symmetry_space_group_name_Hall '-P 4 2'
_cell_length_a 7.720
_cell_length_b 7.720
_cell_length_c 7.728
_cell_angle_alpha 90.00
_cell_angle_beta 90.00
_cell_angle_gamma 90.00
loop_
_atom_site_label
_atom_site_type_symbol
_atom_site_fract_x
_atom_site_fract_y
_atom_site_fract_z
Li1 Li 0.000 0.000 0.000
Pr1 Pr 0.000 0.000 0.500
Pr2 Pr 0.000 0.500 0.500
Pr3 Pr 0.500 0.500 0.500
Pu1 Pu 0.000 0.500 0.000
Pu2 Pu 0.500 0.500 0.000
Te1 Te 0.251 0.251 0.247
```

Properties
- total magnetization (μB/cell) = 18.43
- energy relative to the elements, uncorrected (meV per atom) = -1131.8
- Fermi-level density of states (states/eV/cell) = 25.319